No. 1
{"formula": "Ho6GeTe2Se3", "functional": "PBE", "state": "optimized geometry", "magmom_total_mub_per_atom": 0.000, "formation_energy_uncorrected_mev_per_atom": -1484, "lattice": [[7.265, 0.004, 0.003], [-3.627, 6.295, 0.003], [-1.211, -2.097, 6.752]], "species": ["Ho", "Ho", "Ho", "Ho", "Ho", "Ho", "Ge", "Te", "Te", "Se", "Se", "Se"], "frac_coords": [[0.914, 0.608, 0.740], [0.784, 0.784, 0.266], [0.086, 0.392, 0.260], [0.608, 0.914, 0.740], [0.216, 0.216, 0.734], [0.392, 0.086, 0.260], [0.000, 0.000, 0.000], [0.335, 0.665, 0.000], [0.665, 0.335, 0.000], [0.177, 0.823, 0.500], [0.823, 0.177, 0.500], [0.500, 0.500, 0.500]]}



No. 2
{"formula": "Ho8Ge3TeSe4", "functional": "PBE", "state": "optimized geometry", "magmom_total_mub_per_atom": 0.000, "formation_energy_uncorrected_mev_per_atom": -1436, "lattice": [[-2.825, 7.759, 0.781], [-0.221, -0.907, 8.213], [7.026, -1.456, -4.160]], "species": ["Ho", "Ho", "Ho", "Ho", "Ho", "Ho", "Ho", "Ho", "Ge", "Ge", "Ge", "Te", "Se", "Se", "Se", "Se"], "frac_coords": [[0.256, 0.743, 0.987], [0.256, 0.743, 0.511], [0.254, 0.263, 0.509], [0.732, 0.743, 0.987], [0.268, 0.257, 0.013], [0.746, 0.737, 0.491], [0.744, 0.257, 0.489], [0.744, 0.257, 0.013], [0.500, 0.500, 0.000], [0.500, 0.500, 0.500], [0.000, 0.500, 0.500], [0.000, 0.500, 0.000], [0.500, 0.000, 0.000], [0.500, 0.000, 0.500], [0.000, 0.000, 0.000], [0.000, 0.000, 0.500]]}



No. 3
{"formula": "Ho4GeTe2Se", "functional": "PBE", "state": "optimized geometry", "magmom_total_mub_per_atom": 0.000, "formation_energy_uncorrected_mev_per_atom": -1384, "lattice": [[4.198, 0.000, 0.000], [0.000, 7.241, 0.111], [0.000, -2.547, 6.999]], "species": ["Ho", "Ho", "Ho", "Ho", "Ge", "Te", "Te", "Se"], "frac_coords": [[0.500, 0.248, 0.219], [0.500, 0.752, 0.781], [0.000, 0.268, 0.781], [0.000, 0.732, 0.219], [0.500, 0.500, 0.000], [0.500, 0.000, 0.500], [0.000, 0.500, 0.500], [0.000, 0.000, 0.000]]}



No. 4
{"formula": "HoThGeSe", "functional": "PBE", "state": "optimized geometry", "magmom_total_mub_per_atom": 0.000, "formation_energy_uncorrected_mev_per_atom": -1293, "lattice": [[4.218, 0.000, 0.000], [2.109, 3.653, 0.000], [2.109, 1.218, 6.773]], "species": ["Ho", "Th", "Ge", "Se"], "frac_coords": [[0.698, 0.698, 0.907], [0.190, 0.190, 0.430], [0.441, 0.441, 0.677], [0.948, 0.948, 0.157]]}



No. 5
{"formula": "Ho3Tl3GeSe8", "functional": "PBE", "state": "optimized geometry", "magmom_total_mub_per_atom": 0.000, "formation_energy_uncorrected_mev_per_atom": -1087, "lattice": [[-7.028, -3.166, 2.740], [6.999, -4.130, 0.964], [-1.215, 7.294, 5.327]], "species": ["Ho", "Ho", "Ho", "Tl", "Tl", "Tl", "Ge", "Se", "Se", "Se", "Se", "Se", "Se", "Se", "Se"], "frac_coords": [[0.500, 0.000, 0.500], [0.500, 0.500, 0.500], [0.000, 0.500, 0.500], [0.000, 0.000, 0.000], [0.000, 0.500, 0.000], [0.500, 0.500, 0.000], [0.000, 0.000, 0.500], [0.265, 0.530, 0.294], [0.735, 0.470, 0.706], [0.779, 0.558, 0.307], [0.221, 0.442, 0.693], [0.779, 0.027, 0.307], [0.221, 0.973, 0.693], [0.248, 0.027, 0.307], [0.752, 0.973, 0.693]]}



No. 6
{"formula": "HoTlGeSe3", "functional": "PBE", "state": "optimized geometry", "magmom_total_mub_per_atom": 0.000, "formation_energy_uncorrected_mev_per_atom": -984, "lattice": [[4.016, 0.000, 0.000], [0.000, 9.454, 0.594], [0.000, -2.948, 9.179]], "species": ["Ho", "Ho", "Tl", "Tl", "Ge", "Ge", "Se", "Se", "Se", "Se", "Se", "Se"], "frac_coords": [[0.250, 0.641, 0.164], [0.750, 0.359, 0.836], [0.750, 0.805, 0.787], [0.250, 0.195, 0.213], [0.250, 0.121, 0.547], [0.750, 0.879, 0.453], [0.250, 0.702, 0.468], [0.750, 0.863, 0.188], [0.750, 0.424, 0.142], [0.750, 0.298, 0.532], [0.250, 0.576, 0.858], [0.250, 0.137, 0.812]]}



No. 7
{"formula": "Ho4TlGeSe2", "functional": "PBE", "state": "optimized geometry", "magmom_total_mub_per_atom": 0.000, "formation_energy_uncorrected_mev_per_atom": -1147, "lattice": [[5.893, 0.003, 0.000], [-0.003, 5.893, 0.000], [-2.945, -2.949, 5.899]], "species": ["Ho", "Ho", "Ho", "Ho", "Tl", "Ge", "Se", "Se"], "frac_coords": [[0.997, 0.497, 0.995], [0.503, 0.003, 0.005], [0.758, 0.758, 0.516], [0.242, 0.242, 0.484], [0.500, 0.500, 0.000], [0.750, 0.250, 0.500], [0.250, 0.750, 0.500], [0.000, 0.000, 0.000]]}



No. 8
{"formula": "HoTl2GeSe4", "functional": "PBE", "state": "optimized geometry", "magmom_total_mub_per_atom": 0.000, "formation_energy_uncorrected_mev_per_atom": -785, "lattice": [[4.058, 0.000, 0.000], [0.000, 7.912, -0.405], [0.000, 2.538, 6.772]], "species": ["Ho", "Tl", "Tl", "Ge", "Se", "Se", "Se", "Se"], "frac_coords": [[0.000, 0.500, 0.500], [0.000, 0.000, 0.000], [0.500, 0.000, 0.500], [0.500, 0.500, 0.000], [0.000, 0.702, 0.770], [0.000, 0.298, 0.230], [0.500, 0.703, 0.258], [0.500, 0.297, 0.742]]}